This record from Alexandria via LeMat-Bulk describes a relaxed SmHoTe6 crystal. The functional is GGA-PBE.

Calculated values
Space-group type: Amm2 (38)
Magnetic moment (Bohr magnetons per cell): 0.00
E (Ry per atom): -0.32700
ΔE_f (raw) (eV per atom): -0.93

a = 4.355 Å, b = 13.628 Å, c = 13.628 Å
α = 18.38°, β = 90.00°, γ = 90.00°
Element x y z (fractional)
Sm 0.000 0.000 0.000
Ho 0.500 0.345 0.345
Te 0.000 0.252 0.252
Te 0.000 0.595 0.595
Te 0.000 0.879 0.879
Te 0.500 0.095 0.095
Te 0.500 0.464 0.464
Te 0.500 0.752 0.752

This record from Alexandria via LeMat-Bulk describes a relaxed YCrSe2 crystal. The functional is GGA-PBE.

Calculated values
Space-group type: Amm2 (38)
E above lowest polymorph (eV/f.u.): 0.037
Magnetic moment (Bohr magnetons per cell): 4.71
E (Ry per atom): -0.50023
ΔE_f (raw) (eV per atom): -1.04

a = 3.889 Å, b = 6.583 Å, c = 6.583 Å
α = 33.08°, β = 90.00°, γ = 90.00°
Element x y z (fractional)
Y 0.000 0.000 0.000
Cr 0.500 0.212 0.212
Se 0.000 0.681 0.681
Se 0.500 0.419 0.419

This record from Alexandria via LeMat-Bulk describes a relaxed BaZr3Cl crystal. The functional is GGA-PBE.

Calculated values
Space-group type: Pm-3m (221)
E above lowest polymorph (eV/f.u.): 0.000
Magnetic moment (Bohr magnetons per cell): 0.00
E (Ry per atom): -0.41760
ΔE_f (raw) (eV per atom): 0.20

a = 5.079 Å, b = 5.079 Å, c = 5.079 Å
α = 90.00°, β = 90.00°, γ = 90.00°
Element x y z (fractional)
Ba 0.000 0.000 0.000
Zr 0.000 0.500 0.500
Zr 0.500 0.000 0.500
Zr 0.500 0.500 0.000
Cl 0.500 0.500 0.500

This record from Alexandria via LeMat-Bulk describes a relaxed CaAc5La crystal. The functional is GGA-PBE.

Calculated values
Space-group type: P4/mmm (123)
Formation enthalpy at 0 K (eV per atom): 0.248
Magnetic moment (Bohr magnetons per cell): 0.00
E (Ry per atom): -0.27023

a = 5.803 Å, b = 5.803 Å, c = 9.493 Å
α = 90.00°, β = 90.00°, γ = 90.00°
Element x y z (fractional)
Ca 0.000 0.000 0.000
Ac 0.000 0.500 0.282
Ac 0.000 0.500 0.718
Ac 0.500 0.000 0.282
Ac 0.500 0.000 0.718
Ac 0.500 0.500 0.000
La 0.000 0.000 0.500

This record from Alexandria via LeMat-Bulk describes a relaxed Ca2YBr crystal. The functional is GGA-PBE.

Calculated values
Space-group type: I4/mmm (139)
E above lowest polymorph (eV/f.u.): 2.079
Magnetic moment (Bohr magnetons per cell): 0.01
E (Ry per atom): -0.23197
ΔE_f (raw) (eV per atom): -0.12

a = 6.806 Å, b = 6.806 Å, c = 6.806 Å
α = 138.88°, β = 138.88°, γ = 59.56°
Element x y z (fractional)
Ca 0.250 0.750 0.500
Ca 0.750 0.250 0.500
Y 0.000 0.000 0.000
Br 0.500 0.500 0.000

This record from Alexandria via LeMat-Bulk describes a relaxed Sc2Ru2W crystal. The functional is GGA-PBE.

Calculated values
Space-group type: P4/mbm (127)
Formation enthalpy at 0 K (eV per atom): -0.182
E above lowest polymorph (eV/f.u.): 0.000
Magnetic moment (Bohr magnetons per cell): 0.00
E (Ry per atom): -0.66265

a = 6.500 Å, b = 6.500 Å, c = 4.330 Å
α = 90.00°, β = 90.00°, γ = 90.00°
Element x y z (fractional)
Sc 0.178 0.322 0.000
Sc 0.322 0.822 0.000
Sc 0.678 0.178 0.000
Sc 0.822 0.678 0.000
Ru 0.140 0.640 0.500
Ru 0.360 0.140 0.500
Ru 0.640 0.860 0.500
Ru 0.860 0.360 0.500
W 0.000 0.000 0.500
W 0.500 0.500 0.500

This record from Alexandria via LeMat-Bulk describes a relaxed VCrReOs crystal. The functional is GGA-PBE.

Calculated values
Space-group type: F-43m (216)
Formation enthalpy at 0 K (eV per atom): -0.071
Magnetic moment (Bohr magnetons per cell): 1.53
E (Ry per atom): -0.78468

a = 4.260 Å, b = 4.260 Å, c = 4.260 Å
α = 60.00°, β = 60.00°, γ = 60.00°
Element x y z (fractional)
V 0.000 0.000 0.000
Cr 0.500 0.500 0.500
Re 0.750 0.750 0.750
Os 0.250 0.250 0.250

This record from Alexandria via LeMat-Bulk describes a relaxed SnPd4Au crystal. The functional is GGA-PBE.

Calculated values
Space-group type: C2/m (12)
Formation enthalpy at 0 K (eV per atom): -0.331
Magnetic moment (Bohr magnetons per cell): 0.00
E (Ry per atom): -0.36794

a = 4.903 Å, b = 4.903 Å, c = 5.858 Å
α = 106.54°, β = 106.54°, γ = 47.91°
Element x y z (fractional)
Sn 0.000 0.000 0.000
Pd 0.334 0.334 0.670
Pd 0.335 0.335 0.166
Pd 0.665 0.665 0.834
Pd 0.666 0.666 0.330
Au 0.000 0.000 0.500

This record from Alexandria via LeMat-Bulk describes a relaxed Al2Pd3Au3 crystal. The functional is GGA-PBE.

Calculated values
Space-group type: P-62m (189)
Formation enthalpy at 0 K (eV per atom): -0.496
Magnetic moment (Bohr magnetons per cell): 0.00
E (Ry per atom): -0.33865

a = 6.980 Å, b = 6.980 Å, c = 3.065 Å
α = 90.00°, β = 90.00°, γ = 120.00°
Element x y z (fractional)
Al 0.333 0.667 0.000
Al 0.667 0.333 0.000
Pd 0.000 0.402 0.500
Pd 0.402 0.000 0.500
Pd 0.598 0.598 0.500
Au 0.000 0.759 0.000
Au 0.241 0.241 0.000
Au 0.759 0.000 0.000

Copy entry 7 word for word.
This record from Alexandria via LeMat-Bulk describes a relaxed VCrReOs crystal. The functional is GGA-PBE.

Calculated values
Space-group type: F-43m (216)
Formation enthalpy at 0 K (eV per atom): -0.071
Magnetic moment (Bohr magnetons per cell): 1.53
E (Ry per atom): -0.78468

a = 4.260 Å, b = 4.260 Å, c = 4.260 Å
α = 60.00°, β = 60.00°, γ = 60.00°
Element x y z (fractional)
V 0.000 0.000 0.000
Cr 0.500 0.500 0.500
Re 0.750 0.750 0.750
Os 0.250 0.250 0.250

Question: The highest E belongs to which entry?
Answer: Ca2YBr